The following is a PBE calculation of La6Ir2RhI3 after structural relaxation, from Alexandria.

Geometry as POSCAR:
```
La6Ir2RhI3
1.0
7.369 -0.001 0.001
-3.683 6.382 0.001
-1.229 -2.128 8.262
La Ir Rh I
6 2 1 3
Direct
0.938 0.604 0.815
0.727 0.727 0.185
0.062 0.396 0.185
0.604 0.938 0.815
0.273 0.273 0.815
0.396 0.062 0.185
0.333 0.667 0.000
0.667 0.333 0.000
0.000 0.000 0.000
0.167 0.833 0.500
0.833 0.167 0.500
0.500 0.500 0.500
```

Summary:
Total moment: 0.00 μB/f.u.
VASP energy: -6.033 eV/atom
ΔE_f (raw): -1.09 eV per atom

=====

The following is a PBE calculation of BiMoS2Cl after structural relaxation, from Alexandria.

Geometry as POSCAR:
```
BiMoS2Cl
1.0
-2.193 -0.425 4.809
4.522 -2.034 1.882
1.670 4.811 1.187
S Mo Bi Cl
2 1 1 1
Direct
0.000 0.500 0.000
0.500 0.000 0.000
0.500 0.500 0.500
0.000 0.000 0.000
0.000 0.000 0.500
```

Summary:
Total moment: 4.18 μB/f.u.
VASP energy: -4.154 eV/atom
ΔE_f (raw): 0.81 eV per atom
Energy above the lowest structure with this stoichiometry: 806 meV per atom

=====

The following is a PBE calculation of MgSc2Br after structural relaxation, from Alexandria.

Geometry as POSCAR:
```
MgSc2Br
1.0
-0.988 -3.272 -3.874
3.335 -0.320 -0.580
1.870 -4.460 3.290
Br Mg Sc
1 1 2
Direct
0.000 0.358 0.409
0.500 0.669 0.787
0.000 0.061 0.003
0.500 0.412 0.300
```

Summary:
Total moment: 0.00 μB/f.u.
VASP energy: -4.249 eV/atom
ΔE_f (raw): -0.27 eV per atom
Energy above the lowest structure with this stoichiometry: 139 meV per atom